[1]
The following is a DFT calculation (PBE-GGA) of an optimized crystal structure of CuRuN2.

abc: 6.3474 6.3474 6.3474
angles: 26.29 26.29 26.29
Element x y z (fractional)
N 0.1002 0.1002 0.1002
N 0.8998 0.8998 0.8998
Cu 0.0000 0.0000 0.0000
Ru 0.5000 0.5000 0.5000

Formation energy from raw total energies   2.3 eV/f.u.
E   -6.928 eV/atom



[2]
The following is a DFT calculation (PBE-GGA) of an optimized crystal structure of SrAl2Os2.

abc: 4.3802 4.3802 5.9854
angles: 68.54 68.54 90.00
Element x y z (fractional)
Al 0.7500 0.2500 0.5000
Al 0.2500 0.7500 0.5000
Os 0.6171 0.6171 0.7657
Os 0.3829 0.3829 0.2343
Sr 0.0000 0.0000 0.0000

Energy of formation from the pure elements   -0.12 eV/atom
E   -6.448 eV/atom



[3]
The following is a DFT calculation (PBE-GGA) of an optimized crystal structure of NaCa2Mg2.

abc: 4.9879 4.9879 8.3612
angles: 72.65 72.65 90.00
Element x y z (fractional)
Ca 0.7500 0.2500 0.5000
Ca 0.2500 0.7500 0.5000
Na 0.0000 0.0000 0.0000
Mg 0.4031 0.4031 0.1937
Mg 0.5969 0.5969 0.8063

Energy of formation from the pure elements   0.20 eV/atom
E   -1.499 eV/atom



[4]
The following is a DFT calculation (PBE-GGA) of an optimized crystal structure of Tb2FeCo3.

abc: 4.2068 5.0429 5.9441
angles: 115.10 110.72 90.00
Site moments in Bohr magnetons follow the coordinates.
Element x y z (fractional)
Tb 0.6856 0.1856 0.3711  -0.20
Tb 0.3144 0.8144 0.6289  -0.20
Co 0.0000 0.0000 0.0000  1.18
Co 0.3847 0.3847 0.7694  0.87
Co 0.6153 0.6153 0.2306  0.87
Fe 0.0000 0.5000 0.0000  2.58

Energy of formation from the pure elements   0.25 eV/atom
E   -6.258 eV/atom